Compound: KCrPO4F
Source: the Alexandria database
Functional: PBE with a Hubbard U
Structure: relaxed

Cell and atoms, written as CIF:
```
data_KCrPO4F
_space_group_name_H-M_alt 'P 1'
_space_group_IT_number 1
_space_group_name_Hall 'P 1'
_cell_length_a 6.4296
_cell_length_b 10.7134
_cell_length_c 12.9451
_cell_angle_alpha 90.00
_cell_angle_beta 90.00
_cell_angle_gamma 90.00
loop_
_atom_site_label
_atom_site_fract_x
_atom_site_fract_y
_atom_site_fract_z
K1 0.2025 0.6918 0.3959
K2 0.7975 0.1918 0.6041
K3 0.2975 0.6918 0.8959
K4 0.7025 0.1918 0.1041
K5 0.7763 0.9473 0.3811
K6 0.2237 0.4473 0.6189
K7 0.7237 0.9473 0.8811
K8 0.2763 0.4473 0.1189
Cr1 0.9989 0.7482 0.1152
Cr2 0.0011 0.2482 0.8848
Cr3 0.5011 0.7482 0.6152
Cr4 0.4989 0.2482 0.3848
Cr5 0.7520 0.5001 0.2532
Cr6 0.2480 0.0001 0.7468
Cr7 0.7480 0.5001 0.7532
Cr8 0.2520 0.0001 0.2468
P1 0.6702 0.4976 0.5009
P2 0.3298 0.9976 0.4991
P3 0.8298 0.4976 0.0009
P4 0.1702 0.9976 0.9991
P5 0.5023 0.7481 0.1816
P6 0.4977 0.2481 0.8184
P7 0.9977 0.7481 0.6816
P8 0.0023 0.2481 0.3184
O1 0.0325 0.8785 0.0102
O2 0.3085 0.2745 0.8885
O3 0.8085 0.7745 0.6115
O4 0.1915 0.2745 0.3885
O5 0.3107 0.7191 0.1122
O6 0.6893 0.2191 0.8878
O7 0.1893 0.7191 0.6122
O8 0.8107 0.2191 0.3878
O9 0.5148 0.6078 0.5157
O10 0.4852 0.1078 0.4843
O11 0.9852 0.6078 0.0157
O12 0.0148 0.1078 0.9843
O13 0.5325 0.3785 0.4898
O14 0.4675 0.8785 0.5102
O15 0.9675 0.3785 0.9898
O16 0.6915 0.7745 0.1115
O17 0.8106 0.5189 0.4057
O18 0.1894 0.0189 0.5943
O19 0.6894 0.5189 0.9057
O20 0.4564 0.8607 0.2544
O21 0.8077 0.4805 0.5986
O22 0.1923 0.9805 0.4014
O23 0.6923 0.4805 0.0986
O24 0.3077 0.9805 0.9014
O25 0.0398 0.1349 0.2449
O26 0.9602 0.6349 0.7551
O27 0.4602 0.1349 0.7449
O28 0.5398 0.6349 0.2551
O29 0.9564 0.3607 0.2456
O30 0.0436 0.8607 0.7544
O31 0.5436 0.3607 0.7456
O32 0.3106 0.0189 0.0943
F1 0.0274 0.8745 0.2279
F2 0.9726 0.3745 0.7721
F3 0.4726 0.8745 0.7279
F4 0.5274 0.3745 0.2721
F5 0.4793 0.1212 0.2710
F6 0.5207 0.6212 0.7290
F7 0.0207 0.1212 0.7710
F8 0.9793 0.6212 0.2290
```

## Properties
Electronic total energy ... -6.84 eV/atom
D(E_F) ... 0.000 states/eV/atom
Symmetry ... Pna2_1, No. 33